Tm12CdCu6 (GGA-PBE, relaxed); energy = -4.37 eV per atom; symmetry = Im-3 (204); M_tot = 0.000 μB/atom
1.0
-0.2764 -3.5776 7.5825
1.6987 -5.8335 -5.7840
5.9916 5.8702 -0.1053
Tm Cd Cu
12 1 6
direct
0.2941 0.1053 0.8112
0.2941 0.4830 0.1888
0.7059 0.5170 0.8112
0.7059 0.8947 0.1888
0.1053 0.8112 0.2941
0.4830 0.1888 0.2941
0.5170 0.8112 0.7059
0.8947 0.1888 0.7059
0.8112 0.2941 0.1053
0.1888 0.2941 0.4830
0.8112 0.7059 0.5170
0.1888 0.7059 0.8947
0.0000 0.0000 0.0000
0.3747 0.5000 0.8747
0.6253 0.5000 0.1253
0.5000 0.8747 0.3747
0.5000 0.1253 0.6253
0.8747 0.3747 0.5000
0.1253 0.6253 0.5000

=====

NpAgS3 (GGA-PBE, relaxed); symmetry = P2_1/m (11); M_tot = 0.460 μB/atom; formation energy from raw total energies = -0.715 eV per atom
1.0
3.8404 -0.1416 0.0000
-0.3807 6.5986 0.0000
0.0000 0.0000 8.3467
Np Ag S
2 2 6
direct
0.2369 0.5140 0.2500
0.7631 0.4860 0.7500
0.0000 0.0000 0.0000
0.0000 0.0000 0.5000
0.7120 0.3202 0.4324
0.2880 0.6798 0.5676
0.2880 0.6798 0.9324
0.7120 0.3202 0.0676
0.7817 0.7978 0.2500
0.2182 0.2022 0.7500

=====

SeN2Cl6 (GGA-PBE, relaxed); symmetry = Fm-3m (225); M_tot = 0.634 μB/atom; formation energy from raw total energies = 1.174 eV per atom
1.0
3.9063 -5.9655 -0.1887
-2.9885 -6.1581 -2.0072
1.7350 -2.9304 -6.2678
Se N Cl
1 2 6
direct
0.0000 0.0000 0.0000
0.7500 0.7500 0.7500
0.2500 0.2500 0.2500
0.2268 0.7732 0.7732
0.2268 0.2268 0.7732
0.2268 0.7732 0.2268
0.7732 0.2268 0.2268
0.7732 0.7732 0.2268
0.7732 0.2268 0.7732

=====

TeAs4 (GGA-PBE, relaxed); symmetry = I4/mmm (139); M_tot = 0.000 μB/atom; formation energy from raw total energies = 0.284 eV per atom
1.0
-4.0149 4.0149 1.8144
4.0149 -4.0149 1.8144
4.0149 4.0149 -1.8144
Te As
1 4
direct
0.0000 0.0000 0.0000
0.8164 0.5000 0.3164
0.5000 0.1836 0.6836
0.1836 0.5000 0.6836
0.5000 0.8164 0.3164

=====

ZrCd2Se (GGA-PBE, relaxed); symmetry = I-42d (122); M_tot = 0.000 μB/atom; formation energy from raw total energies = -0.126 eV per atom
1.0
8.2507 0.0000 0.0000
0.0000 8.2507 0.0000
4.1254 4.1254 2.7351
Se Zr Cd
2 2 4
direct
0.5000 0.5000 0.0000
0.2500 0.7500 0.5000
0.0000 0.0000 0.0000
0.7500 0.2500 0.5000
0.6049 0.1250 0.2500
0.1451 0.6250 0.2500
0.3750 0.3951 0.7500
0.8750 0.8549 0.7500

=====

ZrCdSi (GGA-PBE, relaxed); symmetry = P3m1 (156); M_tot = 0.000 μB/atom; formation energy from raw total energies = -0.119 eV per atom
1.0
-1.9659 -2.1661 -3.1401
3.9807 1.4915 -0.5885
1.3639 -3.1263 1.3026
Cd Si Zr
1 1 1
direct
0.0000 0.0000 0.1170
0.6667 0.3333 0.2310
0.3333 0.6667 0.6520

=====

LaAlRu2Br (GGA-PBE, relaxed); symmetry = P4/mmm (123); M_tot = 0.440 μB/atom; formation energy from raw total energies = 1.125 eV per atom
1.0
4.9258 0.0000 0.0000
0.0000 5.9058 0.0000
0.0000 0.0000 4.9258
Ru Al Br La
2 1 1 1
direct
0.0000 0.0000 0.5000
0.5000 0.0000 0.0000
0.5000 0.5000 0.5000
0.0000 0.5000 0.0000
0.0000 0.0000 0.0000

=====

SbPS (GGA-PBE, relaxed); symmetry = P1 (1); M_tot = 0.000 μB/atom; formation energy from raw total energies = 0.077 eV per atom
1.0
-0.7512 1.7116 -3.5836
-1.7631 -3.6558 -1.3878
-4.9919 1.0167 -0.7156
Sb P S
1 1 1
direct
0.1979 0.6331 0.2805
0.7393 0.2667 0.2007
0.9389 0.1917 0.7838